# CsMo3O

An optimized crystal structure of CsMo3O (PBE+U, Alexandria).

```
CsMo3O
1.0
5.146 0.000 0.000
0.000 5.146 0.000
0.000 0.000 5.146
Cs Mo O
1 3 1
Direct
0.000 0.000 0.000
0.000 0.500 0.500
0.500 0.000 0.500
0.500 0.500 0.000
0.500 0.500 0.500
```

Calculated values
As for the final energy: -4.16 eV/atom. As for the space-group type: Pm-3m. The mass density is 5.32 Mg/m³. The density of states at the Fermi level is 0.66 states/eV per atom.